1.
DFT (PBE) results for a relaxed structure of LaHoCCl.

Properties
- spin magnetization (μB/atom) = 0.0016
- crystal system = trigonal
- energy relative to the elements, uncorrected (eV per atom) = -1.06

a b c (Å): 3.6907 3.6908 7.5375
angles (deg): 90.00 104.17 120.00
With the nearest neighbours (Å) after each atom.
Positions (direct):
C 0.3189 0.5574 0.8915  3 Ho 2.45, 3 La 2.62
Cl 0.9502 0.3732 0.3384  3 Ho 2.94, 3 La 3.27
Ho 0.0969 0.9464 0.0586  3 C 2.45
La 0.5119 0.1539 0.6811  3 C 2.62

---

2.
DFT (PBE) results for a relaxed structure of BaAcSe2.

Properties
- spin magnetization (μB/atom) = 0.0000
- crystal system = trigonal
- energy above the most stable polymorph in this dataset (meV per atom) = 79
- energy relative to the elements, uncorrected (eV per atom) = -1.88

a b c (Å): 4.4696 4.4696 8.3520
angles (deg): 74.48 74.48 60.00
With the nearest neighbours (Å) after each atom.
Positions (direct):
Ba 0.4956 0.4956 0.5131  6 Se 3.27-3.42
Se 0.2567 0.2567 0.2300  3 Ac 3.20, 3 Ba 3.42
Ac 0.6696 0.6696 0.9912  6 Se 3.14-3.20
Se 0.0781 0.0781 0.7657  3 Ac 3.14, 3 Ba 3.27

---

3.
DFT (PBE) results for a relaxed structure of La3YSn.

Properties
- spin magnetization (μB/atom) = 0.0000
- crystal system = cubic
- energy above the most stable polymorph in this dataset (meV per atom) = 264
- ΔE_f (eV/atom) = 0.475

a b c (Å): 5.7163 5.7163 5.7163
angles (deg): 90.00 90.00 90.00
With the nearest neighbours (Å) after each atom.
Positions (direct):
La 0.0000 0.5000 0.0000  2 Y 2.86
Y 0.0000 0.0000 0.0000  6 La 2.86
Sn 0.5000 0.5000 0.5000  12 La 4.04
La 0.0000 0.0000 0.5000  2 Y 2.86
La 0.5000 0.0000 0.0000  2 Y 2.86

---

4.
DFT (PBE) results for a relaxed structure of KMgSn2Ru.

Properties
- spin magnetization (μB/atom) = 0.0747
- crystal system = tetragonal
- ΔE_f (eV/atom) = -0.091

a b c (Å): 5.1622 5.1622 5.1703
angles (deg): 90.00 90.00 90.00
With the nearest neighbours (Å) after each atom.
Positions (direct):
Sn 0.0000 0.5000 0.0000  2 Ru 2.58
Ru 0.0000 0.0000 0.0000  4 Sn 2.58, 2 Mg 2.59
Sn 0.5000 0.0000 0.0000  2 Ru 2.58
Mg 0.0000 0.0000 0.5000  2 Ru 2.59
K 0.5000 0.5000 0.5000  4 Mg 3.65, 8 Sn 3.65

---

5.
DFT (PBE) results for a relaxed structure of BePtO.

Properties
- spin magnetization (μB/atom) = 0.0000
- crystal system = orthorhombic
- energy relative to the elements, uncorrected (eV per atom) = -1.32

a b c (Å): 8.4847 2.7886 2.7310
angles (deg): 90.00 99.27 90.00
With the nearest neighbours (Å) after each atom.
Positions (direct):
Pt 0.2974 0.8203 0.2032  2 Be 2.35-2.36
O 0.8526 0.8206 0.4808  2 Be 1.60
O 0.6322 0.3208 0.8706  4 Be 1.64-1.72
Be 0.5241 0.3213 0.3165  2 O 1.64
Be 0.7520 0.8208 0.9304  4 O 1.60-1.72
Pt 0.0543 0.3203 0.5820  2 O 2.19

---

6.
DFT (PBE) results for a relaxed structure of La2YCu.

Properties
- spin magnetization (μB/atom) = 0.0000
- crystal system = trigonal
- energy above the most stable polymorph in this dataset (meV per atom) = 122
- ΔE_f (eV/atom) = 0.047

a b c (Å): 10.3283 10.3283 10.3283
angles (deg): 21.00 21.00 21.00
With the nearest neighbours (Å) after each atom.
Positions (direct):
La 0.4858 0.4858 0.4858  3 Cu 3.02
Y 0.2500 0.2500 0.2500  6 La 3.67, 6 Y 3.76
La 0.0142 0.0142 0.0142  3 Cu 3.02
Cu 0.7500 0.7500 0.7500  6 La 3.02

---

7.
DFT (PBE) results for a relaxed structure of BN.

Properties
- spin magnetization (μB/atom) = 0.0000
- crystal system = tetragonal
- energy above the most stable polymorph in this dataset (meV per atom) = 179
- energy relative to the elements, uncorrected (eV per atom) = -1.11

a b c (Å): 4.4240 4.4240 2.5502
angles (deg): 90.00 90.00 90.00
With the nearest neighbours (Å) after each atom.
Positions (direct):
B 0.8257 0.8257 0.5000  4 N 1.54-1.60
N 0.8126 0.1874 0.5000  4 B 1.54-1.60
N 0.6874 0.6874 0.0000  4 B 1.54-1.60
N 0.3126 0.3126 0.0000  4 B 1.54-1.60
N 0.1874 0.8126 0.5000  4 B 1.54-1.60
B 0.1743 0.1743 0.5000  4 N 1.54-1.60
B 0.6743 0.3257 0.0000  4 N 1.54-1.60
B 0.3257 0.6743 0.0000  4 N 1.54-1.60

---

8.
DFT (PBE) results for a relaxed structure of Sr2TlSn3.

Properties
- spin magnetization (μB/atom) = 0.0000
- crystal system = orthorhombic
- ΔE_f (eV/atom) = -0.373

a b c (Å): 4.4596 4.8419 9.4140
angles (deg): 90.00 90.00 90.00
With the nearest neighbours (Å) after each atom.
Positions (direct):
Tl 0.5000 0.5000 0.3341  3 Sn 2.95-3.10
Sn 0.5000 0.5000 0.6633  2 Sn 2.94, 1 Tl 3.10
Sn 0.5000 0.0000 0.1543  1 Sn 2.95, 2 Tl 2.95
Sn 0.5000 0.0000 0.8409  3 Sn 2.94-2.95
Sr 0.0000 0.0000 0.5204  6 Sn 3.56-3.75, 4 Tl 3.73
Sr 0.0000 0.5000 0.9869  10 Sn 3.57-3.77, 2 Tl 3.96

---

9.
DFT (PBE) results for a relaxed structure of DyTmGe.

Properties
- spin magnetization (μB/atom) = 0.0000
- crystal system = orthorhombic
- ΔE_f (eV/atom) = -0.499

a b c (Å): 4.2816 5.8339 13.5121
angles (deg): 90.00 90.00 90.00
With the nearest neighbours (Å) after each atom.
Positions (direct):
Ge 0.2500 0.9630 0.8509  3 Tm 2.89-2.95, 4 Dy 2.90-3.04
Ge 0.2500 0.5370 0.3509  3 Tm 2.89-2.95, 4 Dy 2.90-3.04
Ge 0.7500 0.4630 0.6491  3 Tm 2.89-2.95, 4 Dy 2.90-3.04
Dy 0.7500 0.9670 0.7063  4 Ge 2.90-3.04
Tm 0.2500 0.2368 0.0347  3 Ge 2.89-2.95
Dy 0.2500 0.4670 0.7937  4 Ge 2.90-3.04
Tm 0.7500 0.7368 0.4653  3 Ge 2.89-2.95
Tm 0.2500 0.2632 0.5347  3 Ge 2.89-2.95
Tm 0.7500 0.7632 0.9653  3 Ge 2.89-2.95
Dy 0.7500 0.5330 0.2063  4 Ge 2.90-3.04
Ge 0.7500 0.0370 0.1491  3 Tm 2.89-2.95, 4 Dy 2.90-3.04
Dy 0.2500 0.0330 0.2937  4 Ge 2.90-3.04

---

10.
DFT (PBE) results for a relaxed structure of Cu3GePd.

Properties
- spin magnetization (μB/atom) = 0.0000
- crystal system = hexagonal
- energy above the most stable polymorph in this dataset (meV per atom) = 384
- ΔE_f (eV/atom) = 0.368

a b c (Å): 5.0662 5.0662 4.6036
angles (deg): 90.00 90.00 120.04
With the nearest neighbours (Å) after each atom.
Positions (direct):
Cu 0.5000 0.0000 0.0000  4 Cu 2.53, 2 Pd 2.53
Cu 0.5000 0.5000 0.0000  2 Pd 2.53, 4 Cu 2.53
Ge 0.0000 0.0000 0.5000  2 Pd 2.30
Pd 0.0000 0.0000 0.0000  2 Ge 2.30, 6 Cu 2.53
Cu 0.0000 0.5000 0.0000  4 Cu 2.53, 2 Pd 2.53

---

11.
DFT (PBE) results for a relaxed structure of BP.

Properties
- spin magnetization (μB/atom) = 0.0000
- crystal system = orthorhombic
- ΔE_f (eV/atom) = 0.080

a b c (Å): 8.8011 8.9359 6.3981
angles (deg): 90.00 90.00 90.00
With the nearest neighbours (Å) after each atom.
Positions (direct):
P 0.2500 0.5881 0.7500  4 B 1.95-2.01
B 0.3407 0.5000 0.5000  4 P 1.95-2.01
P 0.5000 0.1619 0.0000  4 B 1.95-2.01
B 0.9093 0.2500 0.7500  4 P 1.95-2.01
P 0.0000 0.3381 0.0000  4 B 1.95-2.01
B 0.1593 0.0000 0.5000  4 P 1.95-2.01
P 0.7500 0.5881 0.2500  4 B 1.95-2.01
B 0.4093 0.7500 0.7500  4 P 1.95-2.01
P 0.0000 0.1619 0.5000  4 B 1.95-2.01
P 0.0000 0.6619 0.0000  4 B 1.95-2.01
B 0.3407 0.0000 0.0000  4 P 1.95-2.01
P 0.5000 0.8381 0.0000  4 B 1.95-2.01
P 0.7500 0.4119 0.7500  4 B 1.95-2.01
B 0.8407 0.5000 0.0000  4 P 1.95-2.01
P 0.2500 0.0881 0.2500  4 B 1.95-2.01
P 0.5000 0.3381 0.5000  4 B 1.95-2.01
P 0.7500 0.0881 0.7500  4 B 1.95-2.01
P 0.0000 0.8381 0.5000  4 B 1.95-2.01
B 0.0907 0.7500 0.7500  4 P 1.95-2.01
B 0.8407 0.0000 0.5000  4 P 1.95-2.01
B 0.0907 0.2500 0.2500  4 P 1.95-2.01
B 0.6593 0.0000 0.0000  4 P 1.95-2.01
B 0.6593 0.5000 0.5000  4 P 1.95-2.01
P 0.2500 0.9119 0.7500  4 B 1.95-2.01
B 0.4093 0.2500 0.2500  4 P 1.95-2.01
B 0.9093 0.7500 0.2500  4 P 1.95-2.01
P 0.5000 0.6619 0.5000  4 B 1.95-2.01
B 0.5907 0.7500 0.2500  4 P 1.95-2.01
P 0.2500 0.4119 0.2500  4 B 1.95-2.01
P 0.7500 0.9119 0.2500  4 B 1.95-2.01
B 0.1593 0.5000 0.0000  4 P 1.95-2.01
B 0.5907 0.2500 0.7500  4 P 1.95-2.01

---

12.
DFT (PBE) results for a relaxed structure of NaPm2ThBi4.

Properties
- spin magnetization (μB/atom) = 0.0000
- crystal system = orthorhombic
- ΔE_f (eV/atom) = -0.628

a b c (Å): 6.4767 6.4767 8.0110
angles (deg): 113.84 113.84 90.00
With the nearest neighbours (Å) after each atom.
Positions (direct):
Th 0.9369 0.9369 0.0000  6 Bi 3.24
Pm 0.1871 0.6871 0.5000  6 Bi 3.24-3.29
Bi 0.9375 0.4369 0.0000  2 Na 3.24, 2 Th 3.24, 2 Pm 3.29
Bi 0.6910 0.6910 0.5078  1 Th 3.24, 4 Pm 3.24, 1 Na 3.34
Bi 0.4369 0.9375 0.0000  2 Na 3.24, 2 Th 3.24, 2 Pm 3.29
Na 0.4376 0.4376 0.0000  6 Bi 3.24-3.34
Bi 0.1832 0.1832 0.4922  1 Th 3.24, 4 Pm 3.24, 1 Na 3.34
Pm 0.6871 0.1871 0.5000  6 Bi 3.24-3.29